[1]
# BaZn6Au12

An optimized crystal structure of BaZn6Au12 (PBE, the Alexandria database).

a b c (Å): 7.465 7.465 7.465
angles (deg): 103.77 103.77 103.77
Atoms (fractional coordinates):
Ba  0.000  0.000  0.000
Zn  0.279  0.279  0.693
Zn  0.279  0.693  0.279
Zn  0.307  0.721  0.721
Zn  0.693  0.279  0.279
Zn  0.721  0.307  0.721
Zn  0.721  0.721  0.307
Au  0.118  0.500  0.882
Au  0.118  0.882  0.500
Au  0.134  0.391  0.391
Au  0.391  0.134  0.391
Au  0.391  0.391  0.134
Au  0.500  0.118  0.882
Au  0.500  0.882  0.118
Au  0.609  0.609  0.866
Au  0.609  0.866  0.609
Au  0.866  0.609  0.609
Au  0.882  0.118  0.500
Au  0.882  0.500  0.118

volume: 19.62 Å³/atom
symmetry: No. 166
magnetization: 0.00 μB/f.u.
calculated total energy: -2.7874 eV per atom
N(E_F): 8.03 states/eV per cell
ΔE_f: -4.1 eV/f.u.

***

[2]
# Ba2Zn7Au

An optimized crystal structure of Ba2Zn7Au (PBE, the Alexandria database).

a b c (Å): 4.544 4.544 11.078
angles (deg): 90.00 90.00 90.00
Atoms (fractional coordinates):
Ba  0.000  0.500  0.248
Ba  0.500  0.000  0.752
Zn  0.000  0.000  0.000
Zn  0.000  0.500  0.628
Zn  0.000  0.500  0.877
Zn  0.500  0.000  0.123
Zn  0.500  0.000  0.372
Zn  0.500  0.500  0.000
Zn  0.500  0.500  0.500
Au  0.000  0.000  0.500

volume: 22.87 Å³/atom
symmetry: No. 115
magnetization: 0.00 μB/f.u.
calculated total energy: -1.8492 eV per atom
N(E_F): 6.70 states/eV per cell
ΔE_f: -2.5 eV/f.u.

***

[3]
# BaZnAu

An optimized crystal structure of BaZnAu (PBE, the Alexandria database).

a b c (Å): 5.396 5.396 5.396
angles (deg): 60.00 60.00 60.00
Atoms (fractional coordinates):
Ba  0.000  0.000  0.000
Zn  0.250  0.250  0.250
Au  0.750  0.750  0.750

volume: 37.04 Å³/atom
symmetry: No. 216
magnetization: 0.00 μB/f.u.
calculated total energy: -2.2430 eV per atom
N(E_F): 2.18 states/eV per cell
ΔE_f: -0.3 eV/f.u.

***

Question: Which of these has the lowest volume?
Answer: BaZn6Au12

***

Question: Which formula does entry 2 have?
Answer: Ba2Zn7Au

***

Question: What is the calculated total energy in the third record?
Answer: -2.2430 eV per atom